Entry from Alexandria: crystalline PaMnSO2 at its relaxed geometry (PBE+U).

Output
**SG**: P2_1/m
**DOS at the Fermi energy**: 3.0 states/eV/f.u.
**E_tot**: -8.435 eV/atom
**Magnetic moment**: 7.9 Bohr magnetons per cell

abc: 6.827 4.000 7.272
angles: 90.00 114.25 90.00
Atoms (fractional coordinates):
Pa  0.249  0.250  0.055
Pa  0.751  0.750  0.945
Mn  0.301  0.750  0.462
Mn  0.699  0.250  0.538
S  0.287  0.750  0.793
S  0.713  0.250  0.207
O  0.112  0.750  0.124
O  0.348  0.250  0.378
O  0.652  0.750  0.622
O  0.888  0.250  0.876